Record 1
DFT (PBE) results for a relaxed Li4Hg3Au crystal.

POSCAR file:
```
Li4Hg3Au
1.0
3.382 0.000 0.000
0.000 3.382 0.000
0.000 0.000 12.445
Li Hg Au
4 3 1
Cartesian
0.000 0.000 1.388
0.000 0.000 4.625
0.000 0.000 7.820
0.000 0.000 11.057
1.691 1.691 3.029
1.691 1.691 6.222
1.691 1.691 9.416
1.691 1.691 0.000
```

Properties
SG = P4/mmm (123)
Energy of formation from the pure elements = -0.41 eV/atom
E = -1.89 eV per atom
Fermi-level density of states = 2.2 states/eV/cell
Crystal system = tetragonal

Record 2
DFT (PBE) results for a relaxed Li3Hg4Au crystal.

POSCAR file:
```
Li3Hg4Au
1.0
4.682 0.000 0.000
0.000 4.682 0.000
0.000 0.000 6.949
Li Hg Au
3 4 1
Cartesian
0.000 0.000 0.000
0.000 0.000 3.474
2.341 2.341 0.000
0.000 2.341 1.641
0.000 2.341 5.308
2.341 0.000 1.641
2.341 0.000 5.308
2.341 2.341 3.474
```

Properties
SG = P4/mmm (123)
Energy of formation from the pure elements = -0.31 eV/atom
E = -1.59 eV per atom
Fermi-level density of states = 1.4 states/eV/cell
Crystal system = tetragonal